1.
A plane-wave DFT calculation with PBE was carried out for a relaxed structure of YMgAlAg2.

Computed properties:
Crystal system: tetragonal
Calculated formation energy: 27.2 kJ/mol of atoms
V: 23.70 Å³/atom
Raw total energy: -16.09 eV/cell
Symmetry: P4/mmm, No. 123

a = 4.8759 Å, b = 4.9835 Å, c = 4.8759 Å
α = 90.00°, β = 90.00°, γ = 90.00°
Closest atoms and distances in Å follow each position.
Fractional coordinates of all 5 atoms:
Y  0.5000  0.5000  0.5000  4 Al 3.45, 8 Ag 3.49
Mg  0.0000  0.0000  0.0000  4 Ag 2.44, 2 Al 2.49
Al  0.0000  0.5000  0.0000  2 Mg 2.49
Ag  0.0000  0.0000  0.5000  2 Mg 2.44
Ag  0.5000  0.0000  0.0000  2 Mg 2.44

---

2.
A plane-wave DFT calculation with PBE was carried out for a relaxed structure of ScFe2W.

Computed properties:
Crystal system: monoclinic
Calculated formation energy: 28.9 kJ/mol of atoms
V: 15.20 Å³/atom
Raw total energy: -35.01 eV/cell
Symmetry: C2/m, No. 12

a = 4.2236 Å, b = 4.2236 Å, c = 5.2924 Å
α = 79.01°, β = 79.01°, γ = 41.14°
Closest atoms and distances in Å follow each position.
Fractional coordinates of all 4 atoms:
Fe  0.9878  0.9878  0.0442  3 W 2.47-2.53, 2 Fe 2.67, 3 Sc 2.67-2.76
Fe  0.5122  0.5122  0.4558  3 W 2.47-2.53, 2 Fe 2.67, 3 Sc 2.67-2.76
Sc  0.7500  0.7500  0.7500  6 Fe 2.67-2.76, 2 Sc 2.97
W  0.2500  0.2500  0.2500  6 Fe 2.47-2.53

---

3.
A plane-wave DFT calculation with PBE was carried out for a relaxed structure of Ho2GeO.

Computed properties:
Crystal system: trigonal
E_form (uncorrected): -1.68 eV/atom
V: 18.58 Å³/atom
Raw total energy: -25.47 eV/cell
Excess energy over the best structure of this formula in the dataset: 86 kJ/mol of formula units
Symmetry: R-3m, No. 166

a = 3.5278 Å, b = 3.5278 Å, c = 7.1903 Å
α = 75.80°, β = 75.80°, γ = 60.00°
Closest atoms and distances in Å follow each position.
Fractional coordinates of all 4 atoms:
Ge  0.5000  0.5000  0.5000  6 Ho 2.93
Ho  0.2682  0.2682  0.1954  3 O 2.44
Ho  0.7318  0.7318  0.8046  3 O 2.44
O  0.0000  0.0000  0.0000  6 Ho 2.44